1.
Entry from Alexandria: a relaxed structure of PmSi3Tc (GGA-PBE).

Lattice parameters (Å, degrees): 6.009 5.651 5.828 90.00 90.00 90.00
Fractional coordinates of all 10 atoms:
Pm: 0.000 0.158 0.000
Pm: 0.500 0.842 0.500
Si: 0.000 0.982 0.507
Si: 0.214 0.352 0.520
Si: 0.286 0.648 0.020
Si: 0.500 0.018 0.007
Si: 0.714 0.648 0.020
Si: 0.786 0.352 0.520
Tc: 0.000 0.633 0.301
Tc: 0.500 0.367 0.801

Results
DFT total energy in eV/atom: -6.6670
Formation energy from raw total energies in eV per formula unit: -1.95
V in Å³ per cell: 197.9
DOS at the Fermi energy in states/eV/cell: 4.83
Polymorph energy (0 for the lowest one) in meV per atom: 16.0

2.
Entry from Alexandria: a relaxed structure of PmSi2Tc2 (GGA-PBE).

Lattice parameters (Å, degrees): 10.801 10.801 10.801 158.03 157.76 31.46
Fractional coordinates of all 10 atoms:
Pm: 0.414 0.164 0.250
Pm: 0.586 0.836 0.750
Si: 0.029 0.279 0.750
Si: 0.145 0.395 0.750
Si: 0.855 0.605 0.250
Si: 0.971 0.721 0.250
Tc: 0.213 0.963 0.250
Tc: 0.288 0.538 0.750
Tc: 0.712 0.462 0.250
Tc: 0.787 0.037 0.750

Results
DFT total energy in eV/atom: -7.8617
Formation energy from raw total energies in eV per formula unit: -2.98
V in Å³ per cell: 178.3
DOS at the Fermi energy in states/eV/cell: 3.35
Polymorph energy (0 for the lowest one) in meV per atom: 11.0

3.
Entry from Alexandria: a relaxed structure of PmSiTc (GGA-PBE).

Lattice parameters (Å, degrees): 4.063 5.714 6.268 70.36 71.12 69.19
Fractional coordinates of all 6 atoms:
Pm: 0.077 0.149 0.198
Pm: 0.923 0.851 0.802
Si: 0.369 0.598 0.165
Si: 0.631 0.402 0.835
Tc: 0.269 0.372 0.588
Tc: 0.731 0.628 0.412

Results
DFT total energy in eV/atom: -7.2817
Formation energy from raw total energies in eV per formula unit: -1.31
V in Å³ per cell: 124.6
DOS at the Fermi energy in states/eV/cell: 3.20
Polymorph energy (0 for the lowest one) in meV per atom: 126.7

4.
Entry from Alexandria: a relaxed structure of Pm3Si2Tc (GGA-PBE).

Lattice parameters (Å, degrees): 7.411 7.411 7.411 64.52 64.52 64.52
Fractional coordinates of all 12 atoms:
Pm: 0.058 0.750 0.442
Pm: 0.250 0.558 0.942
Pm: 0.442 0.058 0.750
Pm: 0.558 0.942 0.250
Pm: 0.750 0.442 0.058
Pm: 0.942 0.250 0.558
Si: 0.141 0.141 0.141
Si: 0.359 0.359 0.359
Si: 0.641 0.641 0.641
Si: 0.859 0.859 0.859
Tc: 0.000 0.000 0.000
Tc: 0.500 0.500 0.500

Results
DFT total energy in eV/atom: -6.1929
Formation energy from raw total energies in eV per formula unit: -1.69
V in Å³ per cell: 316.3
DOS at the Fermi energy in states/eV/cell: 9.06

5.
Entry from Alexandria: a relaxed structure of Pm2Si3Tc2 (GGA-PBE).

Lattice parameters (Å, degrees): 6.119 6.119 7.264 126.10 126.10 41.35
Fractional coordinates of all 7 atoms:
Pm: 0.076 0.076 0.330
Pm: 0.924 0.924 0.670
Si: 0.358 0.358 0.311
Si: 0.500 0.500 0.000
Si: 0.642 0.642 0.689
Tc: 0.269 0.269 0.902
Tc: 0.731 0.731 0.098

Results
DFT total energy in eV/atom: -7.2334
Formation energy from raw total energies in eV per formula unit: -4.13
V in Å³ per cell: 139.6
DOS at the Fermi energy in states/eV/cell: 4.99

6.
Entry from Alexandria: a relaxed structure of Pm2SiTc (GGA-PBE).

Lattice parameters (Å, degrees): 5.789 5.789 9.083 113.09 113.09 48.13
Fractional coordinates of all 8 atoms:
Pm: 0.179 0.180 0.090
Pm: 0.180 0.179 0.590
Pm: 0.820 0.821 0.410
Pm: 0.821 0.820 0.910
Si: 0.497 0.503 0.750
Si: 0.503 0.497 0.250
Tc: 0.003 0.997 0.250
Tc: 0.997 0.003 0.750

Results
DFT total energy in eV/atom: -6.5017
Formation energy from raw total energies in eV per formula unit: -0.72
V in Å³ per cell: 204.7
DOS at the Fermi energy in states/eV/cell: 3.67
Polymorph energy (0 for the lowest one) in meV per atom: 0.0

7.
Entry from Alexandria: a relaxed structure of Pm2Si4Tc5 (GGA-PBE).

Lattice parameters (Å, degrees): 8.470 7.369 5.814 78.99 58.65 42.36
Fractional coordinates of all 11 atoms:
Pm: 0.132 0.132 0.868
Pm: 0.868 0.868 0.132
Si: 0.219 0.511 0.489
Si: 0.489 0.781 0.219
Si: 0.511 0.219 0.781
Si: 0.781 0.489 0.511
Tc: 0.000 0.000 0.500
Tc: 0.250 0.250 0.250
Tc: 0.500 0.500 0.000
Tc: 0.500 0.500 0.500
Tc: 0.750 0.750 0.750

Results
DFT total energy in eV/atom: -8.0068
Formation energy from raw total energies in eV per formula unit: -5.05
V in Å³ per cell: 196.6
DOS at the Fermi energy in states/eV/cell: 9.54

8.
Entry from Alexandria: a relaxed structure of PmSi2Tc3 (GGA-PBE).

Lattice parameters (Å, degrees): 7.750 7.750 7.572 116.52 116.52 31.13
Fractional coordinates of all 12 atoms:
Pm: 0.145 0.145 0.063
Pm: 0.855 0.855 0.937
Si: 0.190 0.190 0.710
Si: 0.478 0.478 0.820
Si: 0.522 0.522 0.180
Si: 0.810 0.810 0.290
Tc: 0.044 0.044 0.385
Tc: 0.299 0.299 0.531
Tc: 0.413 0.413 0.344
Tc: 0.587 0.587 0.656
Tc: 0.701 0.701 0.469
Tc: 0.956 0.956 0.615

Results
DFT total energy in eV/atom: -8.2777
Formation energy from raw total energies in eV per formula unit: -2.97
V in Å³ per cell: 208.3
DOS at the Fermi energy in states/eV/cell: 7.69
Polymorph energy (0 for the lowest one) in meV per atom: 0.0

9.
Entry from Alexandria: a relaxed structure of Pm3Si3Tc (GGA-PBE).

Lattice parameters (Å, degrees): 5.924 5.924 14.033 110.25 110.25 42.39
Fractional coordinates of all 14 atoms:
Pm: 0.021 0.021 0.374
Pm: 0.104 0.104 0.920
Pm: 0.249 0.249 0.229
Pm: 0.751 0.751 0.771
Pm: 0.896 0.896 0.080
Pm: 0.979 0.979 0.626
Si: 0.359 0.359 0.457
Si: 0.394 0.394 0.927
Si: 0.441 0.441 0.763
Si: 0.559 0.559 0.237
Si: 0.606 0.606 0.073
Si: 0.641 0.641 0.543
Tc: 0.257 0.257 0.587
Tc: 0.743 0.743 0.413

Results
DFT total energy in eV/atom: -6.5429
Formation energy from raw total energies in eV per formula unit: -4.91
V in Å³ per cell: 308.2
DOS at the Fermi energy in states/eV/cell: 9.88
Polymorph energy (0 for the lowest one) in meV per atom: 0.0

10.
Entry from Alexandria: a relaxed structure of PmSi2Tc2 (GGA-PBE).

Lattice parameters (Å, degrees): 5.914 5.914 5.914 138.83 138.83 59.64
Fractional coordinates of all 5 atoms:
Pm: 0.000 0.000 0.000
Si: 0.375 0.375 0.000
Si: 0.625 0.625 0.000
Tc: 0.250 0.750 0.500
Tc: 0.750 0.250 0.500

Results
DFT total energy in eV/atom: -7.8727
Formation energy from raw total energies in eV per formula unit: -3.03
V in Å³ per cell: 88.8
DOS at the Fermi energy in states/eV/cell: 5.16
Polymorph energy (0 for the lowest one) in meV per atom: 0.0

11.
Entry from Alexandria: a relaxed structure of PmSi2Tc (GGA-PBE).

Lattice parameters (Å, degrees): 6.676 6.676 6.676 42.19 42.19 42.19
Fractional coordinates of all 4 atoms:
Pm: 0.000 0.000 0.000
Si: 0.373 0.373 0.373
Si: 0.627 0.627 0.627
Tc: 0.500 0.500 0.500

Results
DFT total energy in eV/atom: -5.4103
Formation energy from raw total energies in eV per formula unit: 4.32
V in Å³ per cell: 121.4
DOS at the Fermi energy in states/eV/cell: 3.37
Polymorph energy (0 for the lowest one) in meV per atom: 1766.0

12.
Entry from Alexandria: a relaxed structure of Pm2SiTe (GGA-PBE).

Lattice parameters (Å, degrees): 7.872 7.872 7.872 31.72 31.72 31.72
Fractional coordinates of all 4 atoms:
Pm: 0.000 0.000 0.000
Pm: 0.189 0.189 0.189
Si: 0.595 0.595 0.595
Te: 0.427 0.427 0.427

Results
DFT total energy in eV/atom: -5.5692
Formation energy from raw total energies in eV per formula unit: -4.21
V in Å³ per cell: 119.8
DOS at the Fermi energy in states/eV/cell: 1.16
Polymorph energy (0 for the lowest one) in meV per atom: 64.5

13.
Entry from Alexandria: a relaxed structure of Pm4SiTe (GGA-PBE).

Lattice parameters (Å, degrees): 9.654 9.654 7.554 112.55 112.55 33.31
Fractional coordinates of all 12 atoms:
Pm: 0.066 0.563 0.915
Pm: 0.168 0.671 0.532
Pm: 0.329 0.832 0.968
Pm: 0.437 0.934 0.585
Pm: 0.563 0.066 0.415
Pm: 0.671 0.168 0.032
Pm: 0.832 0.329 0.468
Pm: 0.934 0.437 0.085
Si: 0.000 0.500 0.500
Si: 0.500 0.000 0.000
Te: 0.251 0.749 0.250
Te: 0.749 0.251 0.750

Results
DFT total energy in eV/atom: -5.1054
Formation energy from raw total energies in eV per formula unit: -3.07
V in Å³ per cell: 354.3
DOS at the Fermi energy in states/eV/cell: 12.83

14.
Entry from Alexandria: a relaxed structure of Pm3Si5Te12 (GGA-PBE).

Lattice parameters (Å, degrees): 14.882 14.882 14.882 109.47 109.47 109.47
Fractional coordinates of all 80 atoms:
Pm: 0.125 0.250 0.375
Pm: 0.125 0.375 0.750
Pm: 0.250 0.375 0.125
Pm: 0.250 0.875 0.625
Pm: 0.375 0.125 0.250
Pm: 0.375 0.750 0.125
Pm: 0.625 0.250 0.875
Pm: 0.625 0.875 0.750
Pm: 0.750 0.125 0.375
Pm: 0.750 0.625 0.875
Pm: 0.875 0.625 0.250
Pm: 0.875 0.750 0.625
Si: 0.000 0.000 0.000
Si: 0.000 0.000 0.500
Si: 0.000 0.500 0.000
Si: 0.000 0.500 0.500
Si: 0.125 0.750 0.875
Si: 0.125 0.875 0.250
Si: 0.250 0.125 0.875
Si: 0.250 0.625 0.375
Si: 0.375 0.250 0.625
Si: 0.375 0.625 0.750
Si: 0.500 0.000 0.000
Si: 0.500 0.000 0.500
Si: 0.500 0.500 0.000
Si: 0.500 0.500 0.500
Si: 0.625 0.375 0.250
Si: 0.625 0.750 0.375
Si: 0.750 0.375 0.625
Si: 0.750 0.875 0.125
Si: 0.875 0.125 0.750
Si: 0.875 0.250 0.125
Te: 0.032 0.211 0.124
Te: 0.032 0.321 0.908
Te: 0.087 0.711 0.679
Te: 0.087 0.876 0.408
Te: 0.092 0.624 0.413
Te: 0.092 0.968 0.679
Te: 0.124 0.032 0.211
Te: 0.124 0.592 0.913
Te: 0.179 0.211 0.587
Te: 0.179 0.468 0.592
Te: 0.211 0.124 0.032
Te: 0.211 0.587 0.179
Te: 0.289 0.321 0.913
Te: 0.289 0.468 0.376
Te: 0.321 0.908 0.032
Te: 0.321 0.913 0.289
Te: 0.376 0.289 0.468
Te: 0.376 0.587 0.908
Te: 0.408 0.087 0.876
Te: 0.408 0.821 0.532
Te: 0.413 0.092 0.624
Te: 0.413 0.821 0.789
Te: 0.468 0.376 0.289
Te: 0.468 0.592 0.179
Te: 0.532 0.408 0.821
Te: 0.532 0.624 0.711
Te: 0.587 0.179 0.211
Te: 0.587 0.908 0.376
Te: 0.592 0.179 0.468
Te: 0.592 0.913 0.124
Te: 0.624 0.413 0.092
Te: 0.624 0.711 0.532
Te: 0.679 0.087 0.711
Te: 0.679 0.092 0.968
Te: 0.711 0.532 0.624
Te: 0.711 0.679 0.087
Te: 0.789 0.413 0.821
Te: 0.789 0.876 0.968
Te: 0.821 0.532 0.408
Te: 0.821 0.789 0.413
Te: 0.876 0.408 0.087
Te: 0.876 0.968 0.789
Te: 0.908 0.032 0.321
Te: 0.908 0.376 0.587
Te: 0.913 0.124 0.592
Te: 0.913 0.289 0.321
Te: 0.968 0.679 0.092
Te: 0.968 0.789 0.876

Results
DFT total energy in eV/atom: -4.4044
Formation energy from raw total energies in eV per formula unit: -9.02
V in Å³ per cell: 2537.1
DOS at the Fermi energy in states/eV/cell: 14.68

15.
Entry from Alexandria: a relaxed structure of Pm2SiTe6 (GGA-PBE).

Lattice parameters (Å, degrees): 7.645 8.047 11.554 90.00 126.80 90.00
Fractional coordinates of all 18 atoms:
Pm: 0.207 0.144 0.234
Pm: 0.207 0.356 0.734
Pm: 0.793 0.644 0.266
Pm: 0.793 0.856 0.766
Si: 0.500 0.000 0.000
Si: 0.500 0.500 0.500
Te: 0.108 0.161 0.923
Te: 0.108 0.339 0.423
Te: 0.269 0.669 0.949
Te: 0.269 0.831 0.449
Te: 0.373 0.512 0.223
Te: 0.373 0.988 0.723
Te: 0.627 0.012 0.277
Te: 0.627 0.488 0.777
Te: 0.731 0.169 0.551
Te: 0.731 0.331 0.051
Te: 0.892 0.661 0.577
Te: 0.892 0.839 0.077

Results
DFT total energy in eV/atom: -4.4254
Formation energy from raw total energies in eV per formula unit: -6.05
V in Å³ per cell: 569.2
DOS at the Fermi energy in states/eV/cell: 6.44

16.
Entry from Alexandria: a relaxed structure of Pm4SiTe4 (GGA-PBE).

Lattice parameters (Å, degrees): 8.411 8.411 8.411 126.80 126.80 78.57
Fractional coordinates of all 9 atoms:
Pm: 0.087 0.673 0.000
Pm: 0.327 0.327 0.414
Pm: 0.673 0.087 0.000
Pm: 0.913 0.913 0.586
Si: 0.000 0.000 0.000
Te: 0.000 0.500 0.500
Te: 0.296 0.296 0.000
Te: 0.500 0.000 0.500
Te: 0.704 0.704 0.000

Results
DFT total energy in eV/atom: -5.0609
Formation energy from raw total energies in eV per formula unit: -8.56
V in Å³ per cell: 369.2
DOS at the Fermi energy in states/eV/cell: 0.78

17.
Entry from Alexandria: a relaxed structure of Pm6Si3Te (GGA-PBE).

Lattice parameters (Å, degrees): 9.096 9.096 7.567 90.00 90.00 104.75
Fractional coordinates of all 20 atoms:
Pm: 0.007 0.993 0.500
Pm: 0.094 0.533 0.521
Pm: 0.246 0.754 0.150
Pm: 0.287 0.360 0.113
Pm: 0.360 0.287 0.613
Pm: 0.467 0.906 0.521
Pm: 0.533 0.094 0.021
Pm: 0.640 0.713 0.113
Pm: 0.713 0.640 0.613
Pm: 0.754 0.246 0.650
Pm: 0.906 0.467 0.021
Pm: 0.993 0.007 0.000
Si: 0.071 0.287 0.787
Si: 0.287 0.071 0.287
Si: 0.413 0.587 0.398
Si: 0.587 0.413 0.898
Si: 0.713 0.929 0.787
Si: 0.929 0.713 0.287
Te: 0.174 0.826 0.767
Te: 0.826 0.174 0.267

Results
DFT total energy in eV/atom: -5.3971
Formation energy from raw total energies in eV per formula unit: -6.06
V in Å³ per cell: 605.4
DOS at the Fermi energy in states/eV/cell: 18.16

18.
Entry from Alexandria: a relaxed structure of Pm5Si2Te2 (GGA-PBE).

Lattice parameters (Å, degrees): 8.761 8.761 8.012 90.00 90.00 54.15
Fractional coordinates of all 18 atoms:
Pm: 0.000 0.000 0.000
Pm: 0.045 0.703 0.671
Pm: 0.203 0.545 0.171
Pm: 0.297 0.955 0.671
Pm: 0.455 0.797 0.171
Pm: 0.500 0.500 0.500
Pm: 0.545 0.203 0.829
Pm: 0.703 0.045 0.329
Pm: 0.797 0.455 0.829
Pm: 0.955 0.297 0.329
Si: 0.121 0.879 0.380
Si: 0.379 0.621 0.880
Si: 0.621 0.379 0.120
Si: 0.879 0.121 0.620
Te: 0.206 0.206 0.000
Te: 0.294 0.294 0.500
Te: 0.706 0.706 0.500
Te: 0.794 0.794 0.000

Results
DFT total energy in eV/atom: -5.5730
Formation energy from raw total energies in eV per formula unit: -9.27
V in Å³ per cell: 498.4
DOS at the Fermi energy in states/eV/cell: 16.94